(1)
Compound: AcScZnO4
Source: Alexandria via LeMat-Bulk
Functional: GGA-PBE
Structure: optimized geometry

The space group is Imma (No. 74) and the conventional cell measures 6.5333, 8.4380 and 9.1021 Å, with angles of 90.00, 90.00 and 90.00 degrees. Symmetry generates all atoms from Ac at (0.0000, 0.0000, 0.0000), Sc at (0.2500, 0.2500, 0.2500), Zn at (0.0000, 0.2500, 0.5154), O at (0.0000, 0.0884, 0.2571) and O at (0.2242, 0.2500, 0.0061).

(2)
Compound: Ac2ScZnO6
Source: Alexandria via LeMat-Bulk
Functional: GGA-PBE
Structure: optimized geometry

The space group is P2_1/c (No. 14) and the conventional cell measures 5.8040, 5.8235 and 10.0166 Å, with angles of 90.00, 125.25 and 90.00 degrees. Symmetry generates all atoms from Ac at (0.2414, 0.0349, 0.2491), Sc at (0.5000, 0.0000, 0.0000), Zn at (0.0000, 0.0000, 0.5000), O at (0.1746, 0.2142, 0.9585), O at (0.2429, 0.7158, 0.9580) and O at (0.3272, 0.0199, 0.7501).

(3)
Compound: Ac2ZrScO6
Source: Alexandria via LeMat-Bulk
Functional: GGA-PBE
Structure: optimized geometry

The space group is P2_1/c (No. 14) and the conventional cell measures 5.8801, 5.9687 and 10.2187 Å, with angles of 90.00, 125.10 and 90.00 degrees. Symmetry generates all atoms from Ac at (0.2444, 0.0501, 0.2495), Zr at (0.0000, 0.0000, 0.5000), Sc at (0.5000, 0.0000, 0.0000), O at (0.1571, 0.2022, 0.9561), O at (0.2602, 0.7026, 0.9588) and O at (0.3326, 0.0225, 0.7515).

M_tot values (in Bohr magnetons per cell) by entry order: 0.00; 1.72; 0.03.
Formation energy from raw total energies values (in eV per atom) by entry order: -2.6525; -2.7974; -3.2943.